! LaCe5Sn3 GGA-PBE relaxed; values from VASP
! Electronic total energy   -102.12 eV per cell
! Calculated volume   526.98 Å³ per cell
! SG   P6_3/mcm
! ρ   7.5 g cm⁻³
! Magnetization   15.77 Bohr magnetons per cell
&SYSTEM
  ibrav = 0, nat = 18, ntyp = 3
/
ATOMIC_SPECIES
La 138.91 La.upf
Ce 140.12 Ce.upf
Sn 118.71 Sn.upf
ATOMIC_POSITIONS angstrom
La 0.000 0.000 0.000
La -2.260 -1.466 1.970
Ce 0.281 -3.582 0.483
Ce 1.462 -5.269 3.409
Ce -0.615 -7.802 1.969
Ce 3.497 -2.695 4.833
Ce 0.464 -4.649 -2.927
Ce -2.983 -4.375 -3.850
Ce 3.721 -3.803 1.439
Ce -4.332 -4.050 0.498
Ce -1.796 -6.115 -0.956
Ce -3.831 -8.689 -2.381
Sn 1.663 -6.372 -0.008
Sn 1.193 -1.718 2.917
Sn -5.254 -5.865 -1.911
Sn -2.060 -2.561 -1.441
Sn -1.527 -9.666 -0.464
Sn -1.997 -5.012 2.460
CELL_PARAMETERS angstrom
-4.520 -2.932 3.940
-2.794 -5.493 -7.292
6.980 -2.959 5.804

! TlIr2F GGA-PBE relaxed; values from VASP
! Electronic total energy   -19.12 eV per cell
! Calculated volume   64.21 Å³ per cell
! Energy relative to the elements, uncorrected   0.71 eV/atom
! Offset from the most stable computed form   0.567 eV/atom
! SG   Fm-3m
! ρ   15.7 g cm⁻³
! Magnetization   1.14 Bohr magnetons per cell
&SYSTEM
  ibrav = 0, nat = 4, ntyp = 3
/
ATOMIC_SPECIES
Tl 204.38 Tl.upf
Ir 192.22 Ir.upf
F 19.00 F.upf
ATOMIC_POSITIONS angstrom
Tl 0.244 0.999 5.408
Ir 0.122 0.500 2.704
Ir 0.366 1.499 8.112
F 0.000 0.000 0.000
CELL_PARAMETERS angstrom
2.624 1.448 3.350
-1.774 2.379 3.376
-0.362 -1.829 4.090

! RbNiP GGA-PBE relaxed; values from VASP
! Electronic total energy   -12.31 eV per cell
! Calculated volume   62.70 Å³ per cell
! SG   I4mm
! ρ   4.6 g cm⁻³
! Magnetization   0.00 Bohr magnetons per cell
&SYSTEM
  ibrav = 0, nat = 3, ntyp = 3
/
ATOMIC_SPECIES
P 30.97 P.upf
Ni 58.69 Ni.upf
Rb 85.47 Rb.upf
ATOMIC_POSITIONS angstrom
P 0.471 -3.037 1.745
Ni -1.155 -1.588 2.629
Rb -0.020 -0.028 0.046
CELL_PARAMETERS angstrom
-0.166 -2.721 -1.717
3.011 -0.738 0.877
-3.549 -1.195 5.259

! TmMnIrPd GGA-PBE relaxed; values from VASP
! Electronic total energy   -29.76 eV per cell
! Calculated volume   69.43 Å³ per cell
! SG   F-43m
! ρ   12.5 g cm⁻³
! Magnetization   4.60 Bohr magnetons per cell
&SYSTEM
  ibrav = 0, nat = 4, ntyp = 4
/
ATOMIC_SPECIES
Mn 54.94 Mn.upf
Ir 192.22 Ir.upf
Tm 168.93 Tm.upf
Pd 106.42 Pd.upf
ATOMIC_POSITIONS angstrom
Mn 1.029 -6.563 5.264
Ir 0.686 -4.375 3.509
Tm 0.343 -2.188 1.755
Pd 0.000 0.000 0.000
CELL_PARAMETERS angstrom
-2.186 -3.206 2.495
1.830 -4.210 0.459
1.728 -1.334 4.064

! Li2SiO GGA-PBE relaxed; values from VASP
! Electronic total energy   -14.42 eV per cell
! Calculated volume   50.38 Å³ per cell
! Energy relative to the elements, uncorrected   -0.05 eV/atom
! Offset from the most stable computed form   0.685 eV/atom
! SG   Fm-3m
! ρ   1.9 g cm⁻³
! Magnetization   0.00 Bohr magnetons per cell
&SYSTEM
  ibrav = 0, nat = 4, ntyp = 3
/
ATOMIC_SPECIES
O 16.00 O.upf
Li 6.94 Li.upf
Si 28.09 Si.upf
ATOMIC_POSITIONS angstrom
O 0.000 0.000 0.000
Li 0.919 -1.690 -1.656
Li 2.757 -5.070 -4.969
Si 1.838 -3.380 -3.313
CELL_PARAMETERS angstrom
2.430 -3.329 -0.442
-1.003 -2.950 -2.735
2.249 -0.481 -3.449

! ScH2Pd GGA-PBE relaxed; values from VASP
! Electronic total energy   -19.08 eV per cell
! Calculated volume   42.00 Å³ per cell
! Offset from the most stable computed form   0.260 eV/atom
! SG   Fm-3m
! ρ   6.1 g cm⁻³
! Magnetization   0.00 Bohr magnetons per cell
&SYSTEM
  ibrav = 0, nat = 4, ntyp = 3
/
ATOMIC_SPECIES
Sc 44.96 Sc.upf
H 1.01 H.upf
Pd 106.42 Pd.upf
ATOMIC_POSITIONS angstrom
Sc 0.000 0.000 0.000
H 4.138 4.138 4.138
H 1.379 1.379 1.379
Pd 2.759 2.759 2.759
CELL_PARAMETERS angstrom
0.000 2.759 2.759
2.759 0.000 2.759
2.759 2.759 0.000

Question: Among the records above, which one has the lowest calculated volume?
Answer: ScH2Pd